Entry 1:
Dy2Tm3Cd2 PBE optimized geometry; magnetic moment = 0.0 μB/f.u.; DFT formation energy = -0.28 eV per formula unit; crystal system = orthorhombic; ΔE to the lowest computed polymorph = 10.22 kJ/mol of atoms
1.0
-4.9673 0.4538 -0.8250
-0.6371 -1.6547 2.9254
-2.5081 10.0210 5.1221
Dy Tm Cd
2 3 2
Cartesian
-5.3000 5.2976 3.8424
-2.8125 3.5225 3.3800
-4.9745 3.3252 0.7976
0.0000 0.0000 0.0000
-2.5010 7.1496 3.4995
-5.3069 8.0781 5.4137
-2.8055 0.7419 1.8088

Entry 2:
Pu2Hg3 PBE optimized geometry; magnetic moment = 0.0 μB/f.u.; DFT formation energy = 1.75 eV per formula unit; crystal system = orthorhombic; ΔE to the lowest computed polymorph = 44.27 kJ/mol of atoms
1.0
-3.6512 1.3683 -3.4698
-1.2835 -4.1630 -0.2911
-4.4146 2.9695 9.7422
Pu Hg
4 6
Cartesian
-3.4786 -0.3157 3.5360
-5.8708 0.4904 2.4454
-3.4012 1.8948 4.3263
-5.9481 -1.7201 1.6551
-2.7384 1.0262 -2.6023
-0.9128 0.3421 -0.8674
-6.7980 2.8214 4.3404
-3.8000 -0.0915 0.0369
-5.5493 0.2663 5.9445
-2.5513 -2.6467 1.6410

Entry 3:
CdCu3Mo PBE optimized geometry; magnetic moment = 0.0 μB/f.u.; DFT formation energy = 6.76 eV per formula unit; crystal system = cubic; ΔE to the lowest computed polymorph = 0.00 kJ/mol of atoms
1.0
4.7095 0.0000 0.0000
0.0000 4.7095 0.0000
0.0000 0.0000 4.7095
Mo Cu Cd
1 3 1
Cartesian
0.0000 0.0000 0.0000
0.0000 2.3547 0.0000
0.0000 0.0000 2.3547
2.3547 0.0000 0.0000
2.3547 2.3547 2.3547

Entry 4:
SrLi2BePd PBE optimized geometry; magnetic moment = 0.0 μB/f.u.; DFT formation energy = -0.42 eV per formula unit; crystal system = tetragonal
1.0
4.7096 0.0000 0.0000
0.0000 4.7096 0.0000
0.0000 0.0000 4.4768
Sr Li Pd Be
1 2 1 1
Cartesian
2.3548 2.3548 2.2384
0.0000 2.3548 0.0000
2.3548 0.0000 0.0000
0.0000 0.0000 2.2384
0.0000 0.0000 0.0000

Entry 5:
BaNdWN4 PBE optimized geometry; magnetic moment = 1.0 μB/f.u.; uncorrected formation energy = -0.663 eV/atom; crystal system = tetragonal
1.0
-1.5927 -2.2974 -2.8305
3.6451 -0.9586 -1.2730
-0.9324 -3.8534 6.4479
Ba Nd W N
1 1 1 4
Cartesian
1.0557 -3.3493 -0.6712
0.0701 -4.0925 3.2822
0.0023 -0.1343 0.1077
-0.7047 -6.4981 2.8750
1.9142 -5.8287 3.6538
1.0896 -5.3308 0.9179
0.0270 -1.5755 1.2636

Entry 6:
TmCu6Au6 PBE optimized geometry; magnetic moment = 0.0 μB/f.u.; DFT formation energy = -3.14 eV per formula unit; crystal system = orthorhombic
1.0
0.4870 -4.8596 1.6557
5.3423 -3.1833 -2.8834
3.9620 -0.4392 5.5765
Tm Cu Au
1 6 6
Cartesian
0.0000 0.0000 0.0000
2.6711 -1.5916 -1.4417
2.9146 -4.0214 -0.6139
1.9810 -0.2196 2.7882
2.2245 -2.6494 3.6161
5.2556 -4.9567 -0.0320
4.5357 -3.5254 4.3807
6.3118 -4.0423 2.3410
3.4796 -4.4397 2.0078
4.4231 -1.3558 2.7506
4.8812 -2.2667 -0.0576
1.8331 -2.2068 1.0149
7.9582 -6.2753 3.3339

Entry 7:
AlOs2Pt PBE optimized geometry; magnetic moment = 0.0 μB/f.u.; DFT formation energy = 0.13 eV per formula unit; crystal system = tetragonal
1.0
-2.1658 -1.7574 -0.3739
1.6955 -1.8052 -1.3363
1.5395 -3.2456 6.3379
Os Al Pt
2 1 1
Cartesian
1.5166 -3.1974 6.2437
0.7926 -1.6711 3.2632
0.9194 -4.2155 3.8984
0.1497 -2.5927 0.7294

Entry 8:
Zn2Ag2Au3 PBE optimized geometry; magnetic moment = 0.0 μB/f.u.; DFT formation energy = -0.76 eV per formula unit; crystal system = monoclinic; ΔE to the lowest computed polymorph = 0.00 kJ/mol of atoms
1.0
-1.8267 -1.2645 -3.4724
3.4891 -3.0627 1.7268
-5.0618 -2.2248 3.4730
Zn Ag Au
2 2 3
Cartesian
-3.6865 -4.6430 1.1832
0.2870 -1.9089 0.5442
-0.1010 -4.3460 -0.8111
-3.2984 -2.2060 2.5385
-0.9133 -0.6323 -1.7362
-2.3593 -2.6439 -0.2429
-1.0401 -3.9080 1.9703

Entry 9:
CsRb2CBr6 PBE optimized geometry; magnetic moment = 0.0 μB/f.u.; uncorrected formation energy = -0.472 eV/atom; crystal system = tetragonal
1.0
8.1065 0.0000 0.0000
0.0000 8.1065 0.0000
4.0533 4.0533 5.7263
Cs C Br Rb
1 1 6 2
Cartesian
0.0000 0.0000 0.0000
4.0533 4.0533 0.0000
4.0533 4.0533 2.3975
8.1065 8.1065 3.3288
2.3553 2.3553 0.0000
5.7513 5.7513 0.0000
5.7513 2.3553 0.0000
2.3553 5.7513 0.0000
8.1065 4.0533 2.8632
4.0533 8.1065 2.8632

Entry 10:
VCoHRh2 PBE optimized geometry; magnetic moment = 0.0 μB/f.u.; crystal system = tetragonal; ΔE to the lowest computed polymorph = 7.06 kJ/mol of atoms
1.0
-0.0576 0.4744 -3.7563
-3.2050 -2.0060 -0.2042
-2.0216 3.1859 0.4334
Co Rh H V
1 2 1 1
Cartesian
-2.6421 0.8271 -1.7635
-1.6025 -1.0030 -0.1021
-0.0288 0.2372 -1.8781
0.0000 0.0000 0.0000
-1.0108 1.5929 0.2167

Entry 11:
Ta2Nb8Os PBE optimized geometry; magnetic moment = 0.0 μB/f.u.; DFT formation energy = 0.57 eV per formula unit; crystal system = monoclinic
1.0
5.3620 0.2695 0.1882
1.0126 7.3682 1.8887
1.0126 4.3091 6.2681
Ta Nb Os
2 8 1
Cartesian
3.6292 3.6986 2.5836
3.7580 8.2482 5.7615
1.0509 3.1995 3.8535
1.0509 4.7192 1.6779
6.3364 8.7473 4.4916
2.3936 5.9063 4.1257
6.3364 7.2276 6.6672
2.6654 1.3045 0.9112
4.7219 10.6423 7.4339
4.9936 6.0405 4.2194
0.0000 0.0000 0.0000

Entry 12:
Pu5Ir2Pt PBE optimized geometry; magnetic moment = 27.8 μB/f.u.; DFT formation energy = -4.00 eV per formula unit; crystal system = tetragonal; ΔE to the lowest computed polymorph = 0.00 kJ/mol of atoms
1.0
-0.1871 -3.5779 -6.7143
7.6054 -0.2650 -0.0707
-3.8755 -3.6457 6.3638
Pu Ir Pt
10 4 2
Cartesian
2.4181 -4.5927 0.9770
6.1952 -4.2386 -3.6301
0.0000 0.0000 0.0000
3.7091 -1.9215 -3.3925
-2.6524 -3.2500 3.2088
-1.4173 -5.0853 -0.1607
1.1830 -2.7575 4.3464
4.9601 -2.4034 -0.2606
2.3598 -4.7311 -4.7677
1.1247 -2.8959 -1.3982
2.7312 -0.5881 -0.9489
0.9265 -2.3174 -4.2901
6.4918 -1.5255 -2.4949
4.6871 -3.2548 -5.8361
3.6260 -4.7050 -1.9069
-0.0832 -2.7836 1.4856